#i
Computed, not measured: an optimized crystal structure of SrNd2Pd at the GGA-PBE level of DFT.

Unit cell a=4.2706 b=4.2706 c=28.9359 alpha=90.00 beta=90.00 gamma=120.00
Space group R3m (No. 160, hexagonal axes)
Symmetry-distinct sites (fractional):
Sr: 0.0000 0.0000 0.0000
Nd: 0.0000 0.0000 0.5514
Nd: 0.0000 0.0000 0.7790
Pd: 0.0000 0.0000 0.1650

Summary:
As for the total magnetization: 0.00 Bohr magnetons per cell.

#ii
Computed, not measured: an optimized crystal structure of SrNd2Pd at the GGA-PBE level of DFT.

Unit cell a=4.2057 b=4.2057 c=29.8442 alpha=90.00 beta=90.00 gamma=120.00
Space group R-3m (No. 166, hexagonal axes)
Symmetry-distinct sites (fractional):
Sr: 0.0000 0.0000 0.0000
Nd: 0.0000 0.0000 0.2199
Pd: 0.0000 0.0000 0.5000

Summary:
As for the total magnetization: 0.01 Bohr magnetons per cell.

The energy of each structure relative to the most stable one, in meV/atom, is as follows: #i 0; #ii 11.

#i
Computed, not measured: an optimized crystal structure of TbNdPd at the GGA-PBE level of DFT.

Unit cell a=3.545 b=3.848 c=13.050 alpha=90.00 beta=90.00 gamma=90.00
Space group Imm2 (No. 44)
Symmetry-distinct sites (fractional):
Tb: 0.000 0.000 0.000
Nd: 0.000 0.500 0.761
Pd: 0.000 0.000 0.591

Summary:
As for the total magnetization: 0.37 Bohr magnetons per cell.

#ii
Computed, not measured: an optimized crystal structure of TbNdPd at the GGA-PBE level of DFT.

Unit cell a=4.8101 b=4.8101 c=3.9854 alpha=90.00 beta=90.00 gamma=120.00
Space group P3m1 (No. 156)
Symmetry-distinct sites (fractional):
Tb: 0.0000 0.0000 0.0000
Nd: 0.6667 0.3333 0.5384
Pd: 0.3333 0.6667 0.2023

Summary:
As for the total magnetization: 0.00 Bohr magnetons per cell.

#iii
Computed, not measured: an optimized crystal structure of TbNdPd at the GGA-PBE level of DFT.

Unit cell a=7.200 b=6.014 c=10.713 alpha=90.00 beta=129.72 gamma=90.00
Space group P2_1/c (No. 14)
Symmetry-distinct sites (fractional):
Tb: 0.179 0.135 0.370
Nd: 0.300 0.639 0.618
Pd: 0.176 0.135 0.638

Summary:
As for the total magnetization: 0.00 Bohr magnetons per cell.

The energy of each structure relative to the most stable one, in meV/atom, is as follows: #i 140; #ii 63; #iii 0.

#i
Computed, not measured: an optimized crystal structure of Tb4NdPd2 at the GGA-PBE level of DFT.

Unit cell a=3.9876 b=3.9876 c=45.4349 alpha=90.00 beta=90.00 gamma=120.00
Space group R-3m (No. 166, hexagonal axes)
Symmetry-distinct sites (fractional):
Tb: 0.0000 0.0000 0.1034
Tb: 0.0000 0.0000 0.3022
Nd: 0.0000 0.0000 0.5000
Pd: 0.0000 0.0000 0.4006

Summary:
As for the total magnetization: 0.00 Bohr magnetons per cell.

#ii
Computed, not measured: an optimized crystal structure of Tb4NdPd2 at the GGA-PBE level of DFT.

Unit cell a=7.774 b=6.510 c=8.206 alpha=90.00 beta=112.09 gamma=90.00
Space group P2_1/m (No. 11)
Symmetry-distinct sites (fractional):
Tb: 0.025 0.250 0.391
Tb: 0.244 0.750 0.350
Tb: 0.404 0.005 0.766
Nd: 0.146 0.250 0.022
Pd: 0.260 0.750 0.997
Pd: 0.387 0.250 0.420

Summary:
As for the total magnetization: 0.00 Bohr magnetons per cell.

The energy of each structure relative to the most stable one, in meV/atom, is as follows: #i 50; #ii 0.

#i
Computed, not measured: an optimized crystal structure of TbNd2Pd at the GGA-PBE level of DFT.

Unit cell a=3.704 b=3.704 c=8.457 alpha=90.00 beta=90.00 gamma=90.00
Space group P4/mmm (No. 123)
Symmetry-distinct sites (fractional):
Tb: 0.000 0.000 0.000
Nd: 0.500 0.500 0.296
Pd: 0.000 0.000 0.500

Summary:
As for the total magnetization: 0.00 Bohr magnetons per cell.

#ii
Computed, not measured: an optimized crystal structure of TbNd2Pd at the GGA-PBE level of DFT.

Unit cell a=3.882 b=12.156 c=9.911 alpha=90.00 beta=90.00 gamma=90.00
Space group Cmcm (No. 63)
Symmetry-distinct sites (fractional):
Tb: 0.000 0.075 0.250
Nd: 0.000 0.365 0.060
Pd: 0.000 0.235 0.750

Summary:
As for the total magnetization: 0.00 Bohr magnetons per cell.

The energy of each structure relative to the most stable one, in meV/atom, is as follows: #i 83; #ii 0.

#i
Computed, not measured: an optimized crystal structure of TbNd2Pd at the GGA-PBE level of DFT.

Unit cell a=3.7887 b=3.7887 c=29.5770 alpha=90.00 beta=90.00 gamma=120.00
Space group R-3m (No. 166, hexagonal axes)
Symmetry-distinct sites (fractional):
Tb: 0.0000 0.0000 0.0000
Nd: 0.0000 0.0000 0.2331
Pd: 0.0000 0.0000 0.5000

Summary:
As for the total magnetization: 0.00 Bohr magnetons per cell.

#ii
Computed, not measured: an optimized crystal structure of TbNd2Pd at the GGA-PBE level of DFT.

Unit cell a=3.8556 b=3.8556 c=28.8273 alpha=90.00 beta=90.00 gamma=120.00
Space group R3m (No. 160, hexagonal axes)
Symmetry-distinct sites (fractional):
Tb: 0.0000 0.0000 0.0000
Nd: 0.0000 0.0000 0.2326
Nd: 0.0000 0.0000 0.4336
Pd: 0.0000 0.0000 0.8331

Summary:
As for the total magnetization: 0.01 Bohr magnetons per cell.

The energy of each structure relative to the most stable one, in meV/atom, is as follows: #i 0; #ii 8.

#i
Computed, not measured: an optimized crystal structure of TbNdZnPd at the GGA-PBE level of DFT.

Unit cell a=7.216 b=7.216 c=7.216 alpha=90.00 beta=90.00 gamma=90.00
Space group F-43m (No. 216)
Symmetry-distinct sites (fractional):
Tb: 0.000 0.000 0.000
Nd: 0.000 0.000 0.500
Zn: 0.250 0.250 0.750
Pd: 0.250 0.250 0.250

Summary:
As for the total magnetization: 0.00 Bohr magnetons per cell.

#ii
Computed, not measured: an optimized crystal structure of TbNdZnPd at the GGA-PBE level of DFT.

Unit cell a=3.625 b=3.625 c=7.125 alpha=90.00 beta=90.00 gamma=90.00
Space group P4mm (No. 99)
Symmetry-distinct sites (fractional):
Tb: 0.000 0.000 0.000
Nd: 0.000 0.000 0.511
Zn: 0.500 0.500 0.242
Pd: 0.500 0.500 0.778

Summary:
As for the total magnetization: 0.00 Bohr magnetons per cell.

The energy of each structure relative to the most stable one, in meV/atom, is as follows: #i 31; #ii 0.

#i
Computed, not measured: an optimized crystal structure of Nd8TcPd2 at the GGA-PBE level of DFT.

Unit cell a=8.457 b=13.516 c=6.120 alpha=90.00 beta=111.36 gamma=90.00
Space group Cm (No. 8)
Symmetry-distinct sites (fractional):
Nd: 0.000 0.000 0.000
Nd: 0.069 0.378 0.764
Nd: 0.144 0.123 0.558
Nd: 0.220 0.500 0.352
Nd: 0.352 0.206 0.171
Tc: 0.367 0.000 0.281
Pd: 0.361 0.303 0.677

Summary:
As for the total magnetization: 0.00 Bohr magnetons per cell.

#ii
Computed, not measured: an optimized crystal structure of Nd8TcPd2 at the GGA-PBE level of DFT.

Unit cell a=17.844 b=5.183 c=7.046 alpha=90.00 beta=104.53 gamma=90.00
Space group C2/m (No. 12)
Symmetry-distinct sites (fractional):
Nd: 0.028 0.000 0.288
Nd: 0.090 0.500 0.949
Nd: 0.164 0.500 0.473
Nd: 0.200 0.000 0.822
Tc: 0.000 0.500 0.500
Pd: 0.189 0.000 0.224

Summary:
As for the total magnetization: 0.00 Bohr magnetons per cell.

The energy of each structure relative to the most stable one, in meV/atom, is as follows: #i 59; #ii 0.

#i
Computed, not measured: an optimized crystal structure of NdThPd4 at the GGA-PBE level of DFT.

Unit cell a=4.238 b=20.431 c=5.865 alpha=90.00 beta=90.00 gamma=90.00
Space group Cmcm (No. 63)
Symmetry-distinct sites (fractional):
Nd: 0.000 0.223 0.250
Th: 0.000 0.078 0.750
Pd: 0.000 0.070 0.250
Pd: 0.000 0.356 0.511
Pd: 0.000 0.500 0.000

Summary:
As for the total magnetization: 0.00 Bohr magnetons per cell.

#ii
Computed, not measured: an optimized crystal structure of NdThPd4 at the GGA-PBE level of DFT.

Unit cell a=7.820 b=7.820 c=7.820 alpha=90.00 beta=90.00 gamma=90.00
Space group F-43m (No. 216)
Symmetry-distinct sites (fractional):
Nd: 0.000 0.000 0.000
Th: 0.250 0.250 0.750
Pd: 0.125 0.125 0.375

Summary:
As for the total magnetization: 0.00 Bohr magnetons per cell.

The energy of each structure relative to the most stable one, in meV/atom, is as follows: #i 0; #ii 139.

#i
Computed, not measured: an optimized crystal structure of NdTh2Pd at the GGA-PBE level of DFT.

Unit cell a=3.691 b=3.691 c=8.446 alpha=90.00 beta=90.00 gamma=90.00
Space group P4/mmm (No. 123)
Symmetry-distinct sites (fractional):
Nd: 0.000 0.000 0.000
Th: 0.500 0.500 0.295
Pd: 0.000 0.000 0.500

Summary:
As for the total magnetization: 0.00 Bohr magnetons per cell.

#ii
Computed, not measured: an optimized crystal structure of NdTh2Pd at the GGA-PBE level of DFT.

Unit cell a=3.5447 b=3.5447 c=33.3372 alpha=90.00 beta=90.00 gamma=120.00
Space group R-3m (No. 166, hexagonal axes)
Symmetry-distinct sites (fractional):
Nd: 0.0000 0.0000 0.0000
Th: 0.0000 0.0000 0.1012
Pd: 0.0000 0.0000 0.5000

Summary:
As for the total magnetization: 0.00 Bohr magnetons per cell.

The energy of each structure relative to the most stable one, in meV/atom, is as follows: #i 0; #ii 286.

#i
Computed, not measured: an optimized crystal structure of NdTh2Pd at the GGA-PBE level of DFT.

Unit cell a=3.779 b=10.303 c=6.286 alpha=90.00 beta=107.48 gamma=90.00
Space group P2_1/m (No. 11)
Symmetry-distinct sites (fractional):
Nd: 0.079 0.250 0.160
Th: 0.364 0.050 0.727
Pd: 0.213 0.750 0.426

Summary:
As for the total magnetization: 0.00 Bohr magnetons per cell.

#ii
Computed, not measured: an optimized crystal structure of NdTh2Pd at the GGA-PBE level of DFT.

Unit cell a=3.7607 b=3.7607 c=29.6794 alpha=90.00 beta=90.00 gamma=120.00
Space group R3m (No. 160, hexagonal axes)
Symmetry-distinct sites (fractional):
Nd: 0.0000 0.0000 0.0000
Th: 0.0000 0.0000 0.2335
Th: 0.0000 0.0000 0.4303
Pd: 0.0000 0.0000 0.8303

Summary:
As for the total magnetization: 0.00 Bohr magnetons per cell.

The energy of each structure relative to the most stable one, in meV/atom, is as follows: #i 0; #ii 184.

#i
Computed, not measured: an optimized crystal structure of NdTlPd6 at the GGA-PBE level of DFT.

Unit cell a=5.279 b=5.279 c=5.279 alpha=90.00 beta=90.00 gamma=90.00
Space group Pm-3 (No. 200)
Symmetry-distinct sites (fractional):
Nd: 0.000 0.000 0.000
Tl: 0.500 0.500 0.500
Pd: 0.000 0.253 0.500

Summary:
As for the total magnetization: 0.00 Bohr magnetons per cell.

#ii
Computed, not measured: an optimized crystal structure of NdTlPd6 at the GGA-PBE level of DFT.

Unit cell a=5.848 b=5.848 c=4.169 alpha=90.00 beta=90.00 gamma=90.00
Space group P4/mmm (No. 123)
Symmetry-distinct sites (fractional):
Nd: 0.000 0.000 0.000
Tl: 0.500 0.500 0.000
Pd: 0.000 0.500 0.000
Pd: 0.256 0.256 0.500

Summary:
As for the total magnetization: 0.00 Bohr magnetons per cell.

The energy of each structure relative to the most stable one, in meV/atom, is as follows: #i 195; #ii 0.

#i
Computed, not measured: an optimized crystal structure of Nd8TlPd2 at the GGA-PBE level of DFT.

Unit cell a=17.733 b=5.098 c=8.065 alpha=90.00 beta=114.55 gamma=90.00
Space group C2/m (No. 12)
Symmetry-distinct sites (fractional):
Nd: 0.049 0.000 0.261
Nd: 0.094 0.500 0.964
Nd: 0.183 0.500 0.475
Nd: 0.187 0.000 0.790
Tl: 0.000 0.500 0.500
Pd: 0.192 0.000 0.151

Summary:
As for the total magnetization: 0.00 Bohr magnetons per cell.

#ii
Computed, not measured: an optimized crystal structure of Nd8TlPd2 at the GGA-PBE level of DFT.

Unit cell a=8.919 b=14.063 c=5.680 alpha=90.00 beta=106.10 gamma=90.00
Space group C2/m (No. 12)
Symmetry-distinct sites (fractional):
Nd: 0.000 0.243 0.000
Nd: 0.106 0.500 0.809
Nd: 0.205 0.122 0.573
Tl: 0.000 0.000 0.000
Pd: 0.000 0.302 0.500

Summary:
As for the total magnetization: 0.00 Bohr magnetons per cell.

The energy of each structure relative to the most stable one, in meV/atom, is as follows: #i 0; #ii 72.